A plane-wave DFT calculation with PBE with a Hubbard U was carried out for a relaxed structure of AcWClO4.

Its energy is -7.229 eV per atom. As for the density of states at the Fermi level: 0.00 states/eV/cell. Its total magnetic moment is 0.00 μB per formula unit.

It has space group C2/m (No. 12), with a = 10.9777 Å, b = 7.8857 Å, c = 7.3597 Å, α = 90.00°, β = 106.46° and γ = 90.00°. The distinct sites, in fractional coordinates, are Ac at (0.2239, 0.0000, 0.1287), W at (0.1362, 0.5000, 0.2618), Cl at (0.0165, 0.0000, 0.7668), O at (0.0347, 0.5000, 0.7958), O at (0.1926, 0.3194, 0.1514) and O at (0.2035, 0.5000, 0.5152).